No. 1
Y8Te4As3S | PBE | relaxed

a = 8.566 Å, b = 8.566 Å, c = 8.566 Å
α = 58.28°, β = 58.28°, γ = 58.28°
Element x y z (fractional)
Y  0.239  0.239  0.239
Y  0.241  0.736  0.736
Y  0.264  0.264  0.759
Y  0.264  0.759  0.264
Y  0.736  0.241  0.736
Y  0.736  0.736  0.241
Y  0.759  0.264  0.264
Y  0.761  0.761  0.761
Te  0.000  0.000  0.000
Te  0.000  0.500  0.500
Te  0.500  0.000  0.500
Te  0.500  0.500  0.000
As  0.000  0.000  0.500
As  0.000  0.500  0.000
As  0.500  0.000  0.000
S  0.500  0.500  0.500

Results
Total DFT energy (no corrections) in eV/atom: -6.700
Formation energy (no corrections) in eV/atom: -1.553


No. 2
Al2Sn2Sb | PBE | relaxed

a = 8.629 Å, b = 8.629 Å, c = 8.629 Å
α = 153.95°, β = 153.95°, γ = 37.17°
Element x y z (fractional)
Al  0.250  0.750  0.500
Al  0.750  0.250  0.500
Sn  0.109  0.109  0.000
Sn  0.891  0.891  0.000
Sb  0.500  0.500  0.000

Results
Total DFT energy (no corrections) in eV/atom: -3.743
Formation energy (no corrections) in eV/atom: 0.180


No. 3
ErZr5 | PBE | relaxed

a = 6.221 Å, b = 6.221 Å, c = 6.780 Å
α = 107.12°, β = 107.12°, γ = 35.73°
Element x y z (fractional)
Er  0.000  0.000  0.000
Zr  0.000  0.000  0.500
Zr  0.318  0.318  0.183
Zr  0.335  0.335  0.635
Zr  0.665  0.665  0.365
Zr  0.682  0.682  0.817

Results
Total DFT energy (no corrections) in eV/atom: -7.801
Formation energy in meV/atom: 83


No. 4
Th2CdC | PBE | relaxed

a = 3.556 Å, b = 3.556 Å, c = 8.893 Å
α = 90.00°, β = 90.00°, γ = 120.00°
Element x y z (fractional)
Th  0.000  0.000  0.182
Th  0.000  0.000  0.818
Cd  0.333  0.667  0.500
C  0.667  0.333  0.000

Results
Total DFT energy (no corrections) in eV/atom: -6.172
Formation energy in meV/atom: 73


> Which formula does entry 4 have?

Th2CdC


> Look up the total DFT energy (no corrections) of the first one.

-6.700 eV/atom